[1]
# BiAu2O PBEsol optimized geometry
# ΔE_f (raw) ... 0.42 eV per atom
# Spin magnetization ... 2.78 μB per cell
# E ... -3.92 eV per atom
data_BiAu2O
_cell_length_a 6.576
_cell_length_b 6.576
_cell_length_c 6.576
_cell_angle_alpha 90.00
_cell_angle_beta 90.00
_cell_angle_gamma 90.00
_symmetry_space_group_name_H-M 'F m -3 m'
_symmetry_Int_Tables_number 225
_symmetry_space_group_name_Hall '-F 4 2 3'
loop_
_atom_site_label
_atom_site_fract_x
_atom_site_fract_y
_atom_site_fract_z
Bi1 0.000 0.000 0.000
Au1 0.250 0.250 0.250
O1 0.000 0.000 0.500

[2]
# BiAuO2 PBEsol optimized geometry
# ΔE_f (raw) ... -0.76 eV per atom
# Spin magnetization ... 0.00 μB per cell
# E ... -5.44 eV per atom
data_BiAuO2
_cell_length_a 6.400
_cell_length_b 3.624
_cell_length_c 6.560
_cell_angle_alpha 90.00
_cell_angle_beta 116.26
_cell_angle_gamma 90.00
_symmetry_space_group_name_H-M 'P 1 21/m 1'
_symmetry_Int_Tables_number 11
_symmetry_space_group_name_Hall '-P 2yb'
loop_
_atom_site_label
_atom_site_fract_x
_atom_site_fract_y
_atom_site_fract_z
Bi1 0.079 0.250 0.274
Au1 0.469 0.250 0.811
O1 0.120 0.250 0.688
O2 0.186 0.750 0.089

[3]
# BiPd2Au PBEsol optimized geometry
# Spin magnetization ... 0.00 μB per cell
# Calculated formation energy ... -0.0011 eV per atom
# E ... -5.03 eV per atom
data_BiPd2Au
_cell_length_a 7.363
_cell_length_b 7.363
_cell_length_c 5.620
_cell_angle_alpha 90.00
_cell_angle_beta 90.00
_cell_angle_gamma 90.00
_symmetry_space_group_name_H-M 'I -4 2 d'
_symmetry_Int_Tables_number 122
_symmetry_space_group_name_Hall 'I -4 2bw'
loop_
_atom_site_label
_atom_site_fract_x
_atom_site_fract_y
_atom_site_fract_z
Bi1 0.000 0.000 0.000
Pd1 0.249 0.250 0.625
Au1 0.000 0.000 0.500

[4]
# Bi2Pd2Au PBEsol optimized geometry
# Spin magnetization ... 0.00 μB per cell
# Calculated formation energy ... -0.2001 eV per atom
# E ... -5.08 eV per atom
data_Bi2Pd2Au
_cell_length_a 7.295
_cell_length_b 7.295
_cell_length_c 3.828
_cell_angle_alpha 90.00
_cell_angle_beta 90.00
_cell_angle_gamma 90.00
_symmetry_space_group_name_H-M 'P 4/m b m'
_symmetry_Int_Tables_number 127
_symmetry_space_group_name_Hall '-P 4 2ab'
loop_
_atom_site_label
_atom_site_fract_x
_atom_site_fract_y
_atom_site_fract_z
Bi1 0.167 0.333 0.000
Pd1 0.136 0.636 0.500
Au1 0.000 0.000 0.500

[5]
# BiSbPd2Au PBEsol optimized geometry
# ΔE_f (raw) ... 0.39 eV per atom
# Spin magnetization ... 0.00 μB per cell
# E ... -4.54 eV per atom
data_BiSbPd2Au
_cell_length_a 4.895
_cell_length_b 4.895
_cell_length_c 5.046
_cell_angle_alpha 90.00
_cell_angle_beta 90.00
_cell_angle_gamma 90.00
_symmetry_space_group_name_H-M 'P 4/m m m'
_symmetry_Int_Tables_number 123
_symmetry_space_group_name_Hall '-P 4 2'
loop_
_atom_site_label
_atom_site_fract_x
_atom_site_fract_y
_atom_site_fract_z
Bi1 0.000 0.000 0.000
Sb1 0.500 0.500 0.500
Pd1 0.000 0.500 0.500
Au1 0.500 0.500 0.000

[6]
# SiBiPd2Au PBEsol optimized geometry
# ΔE_f (raw) ... 1.05 eV per atom
# Spin magnetization ... 0.00 μB per cell
# E ... -4.12 eV per atom
data_SiBiPd2Au
_cell_length_a 4.982
_cell_length_b 4.982
_cell_length_c 5.122
_cell_angle_alpha 90.00
_cell_angle_beta 90.00
_cell_angle_gamma 90.00
_symmetry_space_group_name_H-M 'P 4/m m m'
_symmetry_Int_Tables_number 123
_symmetry_space_group_name_Hall '-P 4 2'
loop_
_atom_site_label
_atom_site_fract_x
_atom_site_fract_y
_atom_site_fract_z
Si1 0.000 0.000 0.000
Bi1 0.500 0.500 0.500
Pd1 0.000 0.500 0.500
Au1 0.500 0.500 0.000